(i)
Tb6Tm4Sc | GGA-PBE | optimized geometry

Summary:
crystal system	orthorhombic

The structure in extended XYZ format:
```
22
Lattice="2.796 -4.768 0.000 2.796 4.768 0.000 0.000 0.000 25.421" Properties=species:S:1:pos:R:3 pbc="T T T"
Tb 0.000 0.000 0.000
Tb 0.000 0.000 12.711
Tb 2.796 4.613 19.066
Tb 2.796 1.728 2.681
Tb 2.796 1.728 10.030
Tb 2.796 1.435 17.356
Tb 2.796 1.435 20.776
Tb 2.796 -1.435 4.645
Tb 2.796 -1.435 8.065
Tb 2.796 -1.728 15.392
Tb 2.796 -1.728 22.741
Tb 2.796 -4.613 6.355
Tm 2.796 4.602 15.815
Tm 2.796 4.602 22.317
Tm 2.796 1.531 13.821
Tm 2.796 1.531 24.311
Tm 2.796 -1.531 1.111
Tm 2.796 -1.531 11.600
Tm 2.796 -4.602 3.105
Tm 2.796 -4.602 9.606
Sc 2.796 1.734 6.355
Sc 2.796 -1.734 19.066
```



(ii)
Tb6Tm4Sc | GGA-PBE | optimized geometry

Summary:
crystal system	tetragonal

The structure in extended XYZ format:
```
11
Lattice="-3.238 3.238 8.436 3.238 -3.238 8.436 3.238 3.238 -8.436" Properties=species:S:1:pos:R:3 pbc="T T T"
Tb 3.238 0.000 0.000
Tb 2.034 -2.034 5.527
Tb 1.204 1.204 2.909
Tb 0.000 3.238 0.000
Tb -2.034 2.034 5.527
Tb 2.034 2.034 11.346
Tm 2.075 2.075 -2.211
Tm 1.163 -1.163 10.648
Tm 1.163 1.163 6.225
Tm -1.163 1.163 10.648
Sc 0.000 0.000 0.000
```



Most stable = (i)



(i)
TbTm3Sc4 | GGA-PBE | optimized geometry

Summary:
crystal system	orthorhombic

The structure in extended XYZ format:
```
16
Lattice="10.716 0.000 0.000 0.000 6.898 0.000 0.000 0.000 5.973" Properties=species:S:1:pos:R:3 pbc="T T T"
Tb 0.000 0.916 0.000
Tb 5.358 5.982 2.987
Tm 0.000 5.985 2.980
Tm 2.683 0.915 2.035
Tm 2.675 5.982 5.022
Tm 5.358 0.913 5.967
Tm 8.033 0.915 2.035
Tm 8.041 5.982 5.022
Sc 0.000 2.635 3.026
Sc 0.000 4.265 0.035
Sc 2.667 4.264 1.994
Sc 2.691 2.634 4.981
Sc 5.358 2.633 3.022
Sc 5.358 4.262 0.040
Sc 8.025 2.634 4.981
Sc 8.049 4.264 1.994
```



(ii)
TbTm3Sc4 | GGA-PBE | optimized geometry

Summary:
crystal system	orthorhombic

The structure in extended XYZ format:
```
8
Lattice="3.722 0.000 0.000 0.000 5.430 0.000 0.000 0.000 10.851" Properties=species:S:1:pos:R:3 pbc="T T T"
Tb 0.000 0.000 0.000
Tm 0.000 0.000 5.425
Tm 0.000 2.715 2.724
Tm 0.000 2.715 8.127
Sc 1.861 0.000 2.740
Sc 1.861 0.000 8.111
Sc 1.861 2.715 0.000
Sc 1.861 2.715 5.425
```



Most stable = (i)



(i)
TbTm2Sc4 | GGA-PBE | optimized geometry

Summary:
crystal system	orthorhombic

The structure in extended XYZ format:
```
7
Lattice="1.786 -10.471 0.000 1.786 10.471 0.000 0.000 0.000 5.229" Properties=species:S:1:pos:R:3 pbc="T T T"
Tb 0.000 0.000 0.000
Tm 1.786 1.543 2.614
Tm 1.786 -1.543 2.614
Sc 1.786 6.348 2.614
Sc 1.786 3.757 0.000
Sc 1.786 -3.757 0.000
Sc 1.786 -6.348 2.614
```



(ii)
TbTm2Sc4 | GGA-PBE | optimized geometry

Summary:
crystal system	orthorhombic

The structure in extended XYZ format:
```
7
Lattice="5.276 -5.518 0.000 5.276 5.518 0.000 0.000 0.000 3.354" Properties=species:S:1:pos:R:3 pbc="T T T"
Tb 0.000 0.000 0.000
Tm 3.206 0.000 1.677
Tm 7.346 0.000 1.677
Sc 2.638 2.759 0.000
Sc 5.276 2.518 1.677
Sc 2.638 -2.759 0.000
Sc 5.276 -2.518 1.677
```



Most stable = (i)



(i)
Tb3Tm8Sc2 | GGA-PBE | optimized geometry

Summary:
crystal system	monoclinic

The structure in extended XYZ format:
```
13
Lattice="7.252 -4.492 0.000 7.252 4.492 0.000 -2.178 0.000 6.266" Properties=species:S:1:pos:R:3 pbc="T T T"
Tb 0.000 0.000 0.000
Tb 6.163 2.944 3.133
Tb 6.163 -2.944 3.133
Tm 0.824 0.000 5.619
Tm 3.751 1.625 5.075
Tm 5.361 0.000 1.727
Tm 8.576 1.625 1.191
Tm 3.751 -1.625 5.075
Tm 6.966 0.000 4.539
Tm 8.576 -1.625 1.191
Tm 11.503 0.000 0.647
Sc 2.075 0.000 2.654
Sc 10.252 0.000 3.612
```



(ii)
Tb3Tm8Sc2 | GGA-PBE | optimized geometry

Summary:
crystal system	monoclinic

The structure in extended XYZ format:
```
13
Lattice="9.676 -3.791 0.000 9.676 3.791 0.000 -0.002 0.000 5.495" Properties=species:S:1:pos:R:3 pbc="T T T"
Tb 0.000 0.000 0.000
Tb 9.675 1.607 2.748
Tb 9.675 -1.607 2.748
Tm 2.625 0.000 2.747
Tm 7.484 1.592 5.494
Tm 6.264 0.000 2.744
Tm 11.866 1.592 0.002
Tm 7.484 -1.592 5.494
Tm 13.087 0.000 2.751
Tm 11.866 -1.592 0.002
Tm 16.726 0.000 2.748
Sc 4.659 0.000 5.492
Sc 14.692 0.000 0.003
```



Most stable = (i)



(i)
TbTm7Sc4 | GGA-PBE | optimized geometry

Summary:
crystal system	triclinic

The structure in extended XYZ format:
```
12
Lattice="5.968 0.000 0.000 0.008 6.890 0.000 1.998 0.002 8.234" Properties=species:S:1:pos:R:3 pbc="T T T"
Tb 0.000 0.000 0.000
Tm 0.004 3.445 0.000
Tm 2.007 0.001 2.773
Tm 3.007 1.761 5.441
Tm 4.966 5.144 8.204
Tm 3.009 1.748 0.030
Tm 4.968 5.132 2.792
Tm 5.967 6.891 5.461
Sc 1.982 3.446 2.797
Sc 2.978 5.137 5.450
Sc 4.997 1.755 2.784
Sc 5.993 3.447 5.437
```



(ii)
TbTm7Sc4 | GGA-PBE | optimized geometry

Summary:
crystal system	monoclinic

The structure in extended XYZ format:
```
12
Lattice="7.706 -2.834 0.000 7.706 2.834 0.000 -4.923 0.000 7.971" Properties=species:S:1:pos:R:3 pbc="T T T"
Tb 0.000 0.000 0.000
Tm -0.843 0.000 3.515
Tm -1.144 0.000 7.017
Tm 2.424 0.000 2.244
Tm 7.706 0.000 0.000
Tm 8.065 0.000 5.727
Tm 11.634 0.000 0.955
Tm 11.333 0.000 4.456
Sc 1.857 0.000 5.213
Sc 5.450 0.000 2.361
Sc 5.039 0.000 5.611
Sc 8.633 0.000 2.759
```



Most stable = (i)



(i)
Tb6Tm12Sc | GGA-PBE | optimized geometry

Summary:
crystal system	trigonal

The structure in extended XYZ format:
```
19
Lattice="6.051 3.493 4.691 -6.051 3.493 4.691 0.000 -6.987 4.691" Properties=species:S:1:pos:R:3 pbc="T T T"
Tb -0.898 -3.193 6.393
Tb -3.214 -0.818 7.681
Tb -2.316 2.374 6.393
Tb 2.316 -2.374 7.681
Tb 3.214 0.818 6.393
Tb 0.898 3.193 7.681
Tm -5.693 1.437 6.023
Tm -4.091 -4.212 8.050
Tm -1.901 -0.510 4.339
Tm 1.602 -5.648 6.023
Tm 1.392 -1.391 4.339
Tm 0.509 1.902 4.339
Tm -0.509 -1.902 9.734
Tm -1.392 1.391 9.734
Tm -1.602 5.648 8.050
Tm 1.901 0.510 9.734
Tm 4.091 4.212 6.023
Tm 5.693 -1.437 8.050
Sc 0.000 0.000 7.037
```



(ii)
Tb6Tm12Sc | GGA-PBE | optimized geometry

Summary:
crystal system	trigonal

The structure in extended XYZ format:
```
19
Lattice="6.466 3.733 4.154 -6.466 3.733 4.154 0.000 -7.467 4.154" Properties=species:S:1:pos:R:3 pbc="T T T"
Tb -2.810 -1.622 5.614
Tb 0.000 -3.244 6.849
Tb -2.810 1.622 6.849
Tb 2.810 -1.622 5.614
Tb 0.000 3.244 5.614
Tb 2.810 1.622 6.849
Tm -1.662 -4.588 4.154
Tm -4.804 0.855 4.154
Tm 0.000 -2.022 2.945
Tm -1.751 1.011 2.945
Tm 1.662 -4.588 4.154
Tm -3.142 3.733 4.154
Tm 1.751 1.011 2.945
Tm -1.751 -1.011 9.518
Tm 4.804 0.855 4.154
Tm 3.142 3.733 4.154
Tm 1.751 -1.011 9.518
Tm 0.000 2.022 9.518
Sc 0.000 0.000 6.231
```



Most stable = (i)



(i)
TbTm4Sc2 | GGA-PBE | optimized geometry

Summary:
crystal system	monoclinic

The structure in extended XYZ format:
```
14
Lattice="4.701 -6.673 0.000 4.701 6.673 0.000 -4.689 0.000 6.669" Properties=species:S:1:pos:R:3 pbc="T T T"
Tb 2.356 5.001 3.334
Tb 4.701 -5.001 0.000
Tm -1.805 1.139 5.049
Tm 2.888 2.195 1.609
Tm 0.539 -1.139 1.715
Tm 1.823 3.281 6.133
Tm 0.543 -2.195 4.943
Tm 6.511 0.056 0.529
Tm 4.166 -0.056 3.863
Tm 4.167 -3.281 2.799
Sc 1.176 0.960 4.035
Sc 3.520 -0.960 0.701
Sc 5.878 2.371 2.623
Sc 3.534 -2.371 5.957
```



(ii)
TbTm4Sc2 | GGA-PBE | optimized geometry

Summary:
crystal system	triclinic

The structure in extended XYZ format:
```
14
Lattice="5.824 0.000 0.000 2.365 7.760 0.000 2.017 -0.474 8.976" Properties=species:S:1:pos:R:3 pbc="T T T"
Tb 0.000 0.000 0.000
Tb 4.989 1.197 8.538
Tm 2.190 4.389 1.545
Tm 2.947 0.156 5.744
Tm 5.181 6.128 0.983
Tm 5.103 2.645 2.093
Tm 5.906 1.982 5.327
Tm 8.114 6.133 6.471
Tm 7.698 7.224 3.275
Tm 8.017 2.921 7.814
Sc 2.991 3.498 4.624
Sc 2.215 1.134 2.724
Sc 5.143 4.515 7.279
Sc 5.722 5.049 4.167
```



Most stable = (ii)



(i)
Tb5TmSc | GGA-PBE | optimized geometry

Summary:
crystal system	triclinic

The structure in extended XYZ format:
```
7
Lattice="4.968 0.000 0.000 -2.478 5.535 0.000 -0.007 -1.125 7.768" Properties=species:S:1:pos:R:3 pbc="T T T"
Tb 0.000 0.000 0.000
Tb 0.000 1.066 3.355
Tb -0.001 2.179 6.649
Tb 0.003 4.399 2.259
Tb 2.485 3.292 4.470
Tm 2.487 2.200 1.091
Sc 2.481 -0.034 5.570
```



(ii)
Tb5TmSc | GGA-PBE | optimized geometry

Summary:
crystal system	orthorhombic

The structure in extended XYZ format:
```
7
Lattice="-3.252 3.284 5.086 3.252 -3.284 5.086 3.252 3.284 -5.086" Properties=species:S:1:pos:R:3 pbc="T T T"
Tb 0.000 0.000 0.000
Tb 1.483 3.284 -0.448
Tb 1.769 0.000 4.638
Tb 0.000 1.808 2.645
Tb 0.000 4.760 2.645
Tm 3.252 0.000 1.153
Sc 0.000 0.000 7.178
```



Most stable = (i)



(i)
TbTmSc6 | GGA-PBE | optimized geometry

Summary:
crystal system	hexagonal

The structure in extended XYZ format:
```
8
Lattice="6.766 0.000 0.000 -3.383 5.860 0.000 0.000 0.000 5.285" Properties=species:S:1:pos:R:3 pbc="T T T"
Tb 0.000 0.000 0.000
Tm 0.000 3.906 2.642
Sc 1.726 0.996 2.642
Sc 3.383 0.036 0.000
Sc 1.723 2.912 0.000
Sc 5.040 0.996 2.642
Sc 3.383 3.867 2.642
Sc 5.043 2.912 0.000
```



(ii)
TbTmSc6 | GGA-PBE | optimized geometry

Summary:
crystal system	orthorhombic

The structure in extended XYZ format:
```
8
Lattice="4.707 -4.712 0.000 4.707 4.712 0.000 0.000 0.000 4.691" Properties=species:S:1:pos:R:3 pbc="T T T"
Tb 0.000 0.000 0.000
Tm 4.707 0.000 0.000
Sc 2.353 2.356 0.000
Sc 2.362 0.000 2.345
Sc 4.707 2.349 2.345
Sc 2.353 -2.356 0.000
Sc 4.707 -2.349 2.345
Sc 7.051 0.000 2.345
```



Most stable = (i)



(i)
Tb5Tm4Sc2 | GGA-PBE | optimized geometry

Summary:
crystal system	orthorhombic

The structure in extended XYZ format:
```
11
Lattice="-1.716 4.472 11.262 1.716 -4.472 11.262 1.716 4.472 -11.262" Properties=species:S:1:pos:R:3 pbc="T T T"
Tb 0.000 0.000 0.000
Tb 1.716 1.808 -3.376
Tb 1.716 1.808 3.376
Tb 0.000 2.663 7.886
Tb 0.000 2.663 14.638
Tm 1.716 2.790 0.000
Tm 1.716 0.000 9.034
Tm 0.000 4.472 2.228
Tm 0.000 1.682 11.262
Sc 1.716 0.000 6.076
Sc 0.000 4.472 5.186
```



(ii)
Tb5Tm4Sc2 | GGA-PBE | optimized geometry

Summary:
crystal system	monoclinic

The structure in extended XYZ format:
```
11
Lattice="8.602 0.000 0.000 0.000 3.463 0.000 -0.760 0.000 11.201" Properties=species:S:1:pos:R:3 pbc="T T T"
Tb 0.000 0.000 0.000
Tb 0.374 0.000 3.398
Tb 2.041 0.000 9.374
Tb 5.801 0.000 1.827
Tb 7.468 0.000 7.803
Tm 1.566 1.731 6.217
Tm 2.807 1.731 1.334
Tm 5.035 1.731 9.867
Tm 6.277 1.731 4.983
Sc 3.525 0.000 4.115
Sc 4.318 0.000 7.086
```



Most stable = (ii)